[1]
# MgOsW3

A geometry-optimized MgOsW3 structure (PBE, the Alexandria database).

a = 4.785 Å, b = 4.785 Å, c = 4.785 Å
α = 90.00°, β = 90.00°, γ = 90.00°
Atoms (fractional coordinates):
Mg (0.000, 0.000, 0.000)
Os (0.500, 0.500, 0.500)
W (0.000, 0.500, 0.500)
W (0.500, 0.000, 0.500)
W (0.500, 0.500, 0.000)

Values from the calculation:
calculated volume: 110 Å³ per cell
distance to the lowest polymorph of the same formula: 0 kJ/mol of formula units

=====

[2]
# Mg2OsW

A geometry-optimized Mg2OsW structure (PBE, the Alexandria database).

a = 2.812 Å, b = 4.410 Å, c = 5.514 Å
α = 90.00°, β = 100.82°, γ = 90.00°
Atoms (fractional coordinates):
Mg (0.000, 0.000, 0.000)
Mg (0.290, 0.500, 0.748)
Os (0.756, 0.500, 0.273)
W (0.571, 0.000, 0.468)

Values from the calculation:
calculated volume: 67 Å³ per cell
distance to the lowest polymorph of the same formula: 70 kJ/mol of formula units

=====

[3]
# Mg2OsW

A geometry-optimized Mg2OsW structure (PBE, the Alexandria database).

a = 5.395 Å, b = 5.395 Å, c = 4.421 Å
α = 113.95°, β = 113.95°, γ = 33.93°
Atoms (fractional coordinates):
Mg (0.239, 0.239, 0.239)
Mg (0.761, 0.761, 0.761)
Os (0.500, 0.500, 0.000)
W (0.000, 0.000, 0.500)

Values from the calculation:
calculated volume: 65 Å³ per cell
distance to the lowest polymorph of the same formula: 70 kJ/mol of formula units

=====

[4]
# Mg2OsW

A geometry-optimized Mg2OsW structure (PBE, the Alexandria database).

a = 9.762 Å, b = 9.762 Å, c = 9.762 Å
α = 16.98°, β = 16.98°, γ = 16.98°
Atoms (fractional coordinates):
Mg (0.000, 0.000, 0.000)
Mg (0.237, 0.237, 0.237)
Os (0.746, 0.746, 0.746)
W (0.485, 0.485, 0.485)

Values from the calculation:
calculated volume: 69 Å³ per cell
distance to the lowest polymorph of the same formula: 52 kJ/mol of formula units

=====

[5]
# Mg2OsW

A geometry-optimized Mg2OsW structure (PBE, the Alexandria database).

a = 3.107 Å, b = 3.107 Å, c = 7.204 Å
α = 90.00°, β = 90.00°, γ = 90.00°
Atoms (fractional coordinates):
Mg (0.000, 0.000, 0.000)
Mg (0.500, 0.500, 0.299)
Os (0.000, 0.000, 0.542)
W (0.500, 0.500, 0.737)

Values from the calculation:
calculated volume: 70 Å³ per cell
distance to the lowest polymorph of the same formula: 0 kJ/mol of formula units

=====

[6]
# MgOs3W

A geometry-optimized MgOs3W structure (PBE, the Alexandria database).

a = 4.354 Å, b = 4.354 Å, c = 4.354 Å
α = 90.00°, β = 90.00°, γ = 90.00°
Atoms (fractional coordinates):
Mg (0.000, 0.000, 0.000)
Os (0.000, 0.000, 0.500)
Os (0.000, 0.500, 0.000)
Os (0.500, 0.000, 0.000)
W (0.500, 0.500, 0.500)

Values from the calculation:
calculated volume: 83 Å³ per cell
distance to the lowest polymorph of the same formula: 136 kJ/mol of formula units

=====

[7]
# Mg4OsW

A geometry-optimized Mg4OsW structure (PBE, the Alexandria database).

a = 5.224 Å, b = 5.224 Å, c = 5.224 Å
α = 60.00°, β = 60.00°, γ = 60.00°
Atoms (fractional coordinates):
Mg (0.125, 0.125, 0.125)
Mg (0.125, 0.125, 0.624)
Mg (0.125, 0.624, 0.125)
Mg (0.624, 0.125, 0.125)
Os (0.750, 0.750, 0.750)
W (0.500, 0.500, 0.500)

Values from the calculation:
calculated volume: 101 Å³ per cell
DFT total energy: -25.84 eV/cell

=====

[8]
# Mg2OsW

A geometry-optimized Mg2OsW structure (PBE, the Alexandria database).

a = 5.367 Å, b = 5.367 Å, c = 2.713 Å
α = 98.15°, β = 98.15°, γ = 119.88°
Atoms (fractional coordinates):
Mg (0.000, 0.500, 0.000)
Mg (0.500, 0.000, 0.000)
Os (0.000, 0.000, 0.500)
W (0.500, 0.500, 0.500)

Values from the calculation:
calculated volume: 65 Å³ per cell
distance to the lowest polymorph of the same formula: 98 kJ/mol of formula units